A geometry-optimized UCr2FeO6 structure. Source: the Alexandria database, functional PBE with a Hubbard U.

For the total energy, the calculation gives -83.32 eV per cell. The volume comes out at 122.4 Å³/f.u.

The structure belongs to space group P1 (No. 1); the cell edges are 5.2573, 5.4759 and 5.6496 Å and the angles 116.89°, 90.35° and 118.40°. The inequivalent atoms are U at (0.0000, 0.0000, 0.0000), Cr at (0.2028, 0.4078, 0.6038), Cr at (0.7089, 0.4234, 0.1167), Fe at (0.4993, 0.9915, 0.5004), O at (0.1229, 0.9477, 0.3341), O at (0.2740, 0.8521, 0.7885), O at (0.4010, 0.4973, 0.3141), O at (0.5857, 0.5266, 0.8299), O at (0.8150, 0.2222, 0.3113) and O at (0.9110, 0.2309, 0.8071).